[1]
# HfGa2B PBE-GGA optimized geometry
# Total magnetic moment in Bohr magnetons per cell: 0.01
# Crystal system: cubic
# E_tot in eV/cell: -82.16
data_HfGa2B
_cell_length_a 6.298
_cell_length_b 6.298
_cell_length_c 6.298
_cell_angle_alpha 90.00
_cell_angle_beta 90.00
_cell_angle_gamma 90.00
_space_group_name_H-M_alt 'F -4 3 m'
_space_group_IT_number 216
_space_group_name_Hall 'F -4 2 3'
loop_
_atom_site_label
_atom_site_type_symbol
_atom_site_fract_x
_atom_site_fract_y
_atom_site_fract_z
Hf1 Hf 0.000 0.000 0.000
Ga1 Ga 0.000 0.000 0.500
Ga2 Ga 0.250 0.250 0.250
B1 B 0.250 0.250 0.750

---

[2]
# ScBeFeSb PBE-GGA optimized geometry
# ΔE to the lowest computed polymorph in eV/atom: 0.101
# Total magnetic moment in Bohr magnetons per cell: 0.01
# Crystal system: cubic
data_ScBeFeSb
_cell_length_a 6.241
_cell_length_b 6.241
_cell_length_c 6.241
_cell_angle_alpha 90.00
_cell_angle_beta 90.00
_cell_angle_gamma 90.00
_space_group_name_H-M_alt 'F -4 3 m'
_space_group_IT_number 216
_space_group_name_Hall 'F -4 2 3'
loop_
_atom_site_label
_atom_site_type_symbol
_atom_site_fract_x
_atom_site_fract_y
_atom_site_fract_z
Sc1 Sc 0.000 0.000 0.000
Be1 Be 0.250 0.250 0.250
Fe1 Fe 0.000 0.000 0.500
Sb1 Sb 0.250 0.250 0.750

---

[3]
# TmLuCo PBE-GGA optimized geometry
# ΔE to the lowest computed polymorph in eV/atom: 0.000
# Total magnetic moment in Bohr magnetons per cell: 0.00
# Crystal system: tetragonal
# Energy relative to the elements in eV per atom: 0.035
data_TmLuCo
_cell_length_a 4.685
_cell_length_b 4.685
_cell_length_c 6.626
_cell_angle_alpha 90.00
_cell_angle_beta 90.00
_cell_angle_gamma 90.00
_space_group_name_H-M_alt 'P 42/m m c'
_space_group_IT_number 131
_space_group_name_Hall '-P 4c 2'
loop_
_atom_site_label
_atom_site_type_symbol
_atom_site_fract_x
_atom_site_fract_y
_atom_site_fract_z
Tm1 Tm 0.000 0.000 0.250
Lu1 Lu 0.500 0.500 0.000
Co1 Co 0.000 0.500 0.000